K12Na6Sn after structural relaxation, computed with PBE-GGA.

Cell lengths 10.1939, 10.1939, 10.1939 Å; angles 87.36, 87.36, 87.36 degrees
Positions (direct):
K 0.0376 0.9368 0.3055
K 0.0632 0.6945 0.9624
K 0.1426 0.4776 0.3557
K 0.3055 0.0376 0.9368
K 0.3557 0.1426 0.4776
K 0.4776 0.3557 0.1426
K 0.5224 0.6443 0.8574
K 0.6443 0.8574 0.5224
K 0.6945 0.9624 0.0632
K 0.8574 0.5224 0.6443
K 0.9368 0.3055 0.0376
K 0.9624 0.0632 0.6945
Na 0.2612 0.4100 0.7337
Na 0.2663 0.7388 0.5900
Na 0.4100 0.7337 0.2612
Na 0.5900 0.2663 0.7388
Na 0.7337 0.2612 0.4100
Na 0.7388 0.5900 0.2663
Sn 0.5000 0.5000 0.5000

Fermi-level density of states ... 11.48 states/eV per cell
Spin magnetization ... 0.000 μB per atom
Formation energy ... -0.002 eV/atom

Ac3GaAu3 after structural relaxation, computed with PBE-GGA.

Cell lengths 9.3430, 9.3430, 6.3509 Å; angles 90.00, 90.00, 120.00 degrees
Positions (direct):
Ac 0.0429 0.6863 0.2500
Ac 0.3137 0.3566 0.2500
Ac 0.3566 0.0429 0.7500
Ac 0.6434 0.9571 0.2500
Ac 0.6863 0.6434 0.7500
Ac 0.9571 0.3137 0.7500
Ga 0.3333 0.6667 0.7500
Ga 0.6667 0.3333 0.2500
Au 0.0476 0.6843 0.7500
Au 0.3157 0.3633 0.7500
Au 0.3633 0.0476 0.2500
Au 0.6367 0.9524 0.7500
Au 0.6843 0.6367 0.2500
Au 0.9524 0.3157 0.2500

Fermi-level density of states ... 12.31 states/eV per cell
Spin magnetization ... 0.000 μB per atom
Formation energy ... -0.581 eV/atom

CeNd2Mg after structural relaxation, computed with PBE-GGA.

Cell lengths 11.7097, 11.7097, 11.7097 Å; angles 17.35, 17.35, 17.35 degrees
Positions (direct):
Ce 0.0000 0.0000 0.0000
Nd 0.2476 0.2476 0.2476
Nd 0.4182 0.4182 0.4182
Mg 0.8330 0.8330 0.8330

Fermi-level density of states ... 7.20 states/eV per cell
Spin magnetization ... 0.181 μB per atom
Formation energy ... 0.079 eV/atom

MgBiPd3 after structural relaxation, computed with PBE-GGA.

Cell lengths 8.9092, 8.9092, 4.8632 Å; angles 104.84, 104.84, 32.05 degrees
Positions (direct):
Mg 0.1269 0.1269 0.3569
Mg 0.8731 0.8731 0.6431
Bi 0.3876 0.3876 0.0843
Bi 0.6124 0.6124 0.9157
Pd 0.0400 0.0400 0.7882
Pd 0.2111 0.2111 0.8988
Pd 0.2979 0.2979 0.4842
Pd 0.7021 0.7021 0.5158
Pd 0.7889 0.7889 0.1012
Pd 0.9600 0.9600 0.2118

Fermi-level density of states ... 3.54 states/eV per cell
Spin magnetization ... 0.000 μB per atom
Formation energy ... -0.348 eV/atom

CoBiS3 after structural relaxation, computed with PBE-GGA.

Cell lengths 4.5131, 4.5131, 4.5131 Å; angles 90.00, 90.00, 90.00 degrees
Positions (direct):
Co 0.0000 0.0000 0.0000
Bi 0.5000 0.5000 0.5000
S 0.0000 0.0000 0.5000
S 0.0000 0.5000 0.0000
S 0.5000 0.0000 0.0000

Fermi-level density of states ... 5.96 states/eV per cell
Spin magnetization ... 0.254 μB per atom
ΔE_f (raw) ... 0.11 eV per atom

Pm4Al12Ir after structural relaxation, computed with PBE-GGA.

Cell lengths 7.5849, 7.5849, 7.5849 Å; angles 109.47, 109.47, 109.47 degrees
Positions (direct):
Pm 0.0000 0.0000 0.5000
Pm 0.0000 0.5000 0.0000
Pm 0.5000 0.0000 0.0000
Pm 0.5000 0.5000 0.5000
Al 0.0000 0.2875 0.2875
Al 0.0000 0.7125 0.7125
Al 0.2500 0.5000 0.7500
Al 0.2500 0.7500 0.5000
Al 0.2875 0.0000 0.2875
Al 0.2875 0.2875 0.0000
Al 0.5000 0.2500 0.7500
Al 0.5000 0.7500 0.2500
Al 0.7125 0.0000 0.7125
Al 0.7125 0.7125 0.0000
Al 0.7500 0.2500 0.5000
Al 0.7500 0.5000 0.2500
Ir 0.0000 0.0000 0.0000

Fermi-level density of states ... 9.05 states/eV per cell
Spin magnetization ... 0.000 μB per atom
Formation energy ... -0.544 eV/atom

ScAlNiOs after structural relaxation, computed with PBE-GGA.

Cell lengths 4.3608, 4.3608, 4.3608 Å; angles 60.00, 60.00, 60.00 degrees
Positions (direct):
Sc 0.0000 0.0000 0.0000
Al 0.5000 0.5000 0.5000
Ni 0.2500 0.2500 0.2500
Os 0.7500 0.7500 0.7500

Fermi-level density of states ... 2.29 states/eV per cell
Spin magnetization ... 0.000 μB per atom
Formation energy ... -0.493 eV/atom

BaPmPd4 after structural relaxation, computed with PBE-GGA.

Cell lengths 5.6197, 5.6197, 5.6197 Å; angles 60.00, 60.00, 60.00 degrees
Positions (direct):
Ba 0.0000 0.0000 0.0000
Pm 0.7500 0.7500 0.7500
Pd 0.3756 0.3756 0.3756
Pd 0.3756 0.3756 0.8732
Pd 0.3756 0.8732 0.3756
Pd 0.8732 0.3756 0.3756

Fermi-level density of states ... 5.57 states/eV per cell
Spin magnetization ... 0.000 μB per atom
Formation energy ... -0.598 eV/atom